# Ce3Co3Ni

Crystalline Ce3Co3Ni at its relaxed geometry (PBE-GGA, the Alexandria database).

Structure (POSCAR):
```
Ce3Co3Ni
1.0
3.916 0.000 0.000
1.819 5.334 0.000
0.576 0.129 12.350
Ce Co Ni
6 6 2
Cartesian
0.933 1.649 4.837
2.264 3.971 11.361
2.590 4.028 2.785
3.721 1.435 9.565
4.047 1.492 0.989
5.377 3.814 7.512
2.854 3.847 5.750
2.348 0.986 11.373
3.635 4.418 9.632
2.676 1.045 2.718
3.963 4.477 0.977
3.457 1.616 6.600
1.557 0.577 7.610
4.753 4.885 4.740
```

Results
M_tot   0.0 μB/cell
Formation energy from the elements   -0.221 eV/atom

=====

# Ag2F

Crystalline Ag2F at its relaxed geometry (PBE-GGA, the Alexandria database).

Structure (POSCAR):
```
Ag2F
1.0
3.057 0.000 0.000
-1.529 2.648 0.000
0.000 0.000 5.795
Ag F
2 1
Cartesian
0.000 1.765 1.116
1.529 0.883 4.679
0.000 0.000 2.897
```

Results
Distance to the lowest polymorph of the same formula   0.00 eV per formula unit
M_tot   0.0 μB/cell
Formation energy without anion corrections   -0.70 eV per atom

=====

# Be2FeBr

Crystalline Be2FeBr at its relaxed geometry (PBE-GGA, the Alexandria database).

Structure (POSCAR):
```
Be2FeBr
1.0
2.994 0.000 0.000
0.000 2.994 0.000
0.000 0.000 5.782
Be Fe Br
2 1 1
Cartesian
0.000 0.000 1.010
0.000 0.000 4.772
1.497 1.497 0.000
1.497 1.497 2.891
```

Results
Distance to the lowest polymorph of the same formula   0.47 eV per formula unit
M_tot   1.2 μB/cell
Formation energy without anion corrections   0.39 eV per atom

=====

# Sr2TlH2

Crystalline Sr2TlH2 at its relaxed geometry (PBE-GGA, the Alexandria database).

Structure (POSCAR):
```
Sr2TlH2
1.0
-2.013 2.013 7.330
2.013 -2.013 7.330
2.013 2.013 -7.330
Sr Tl H
2 1 2
Cartesian
0.000 0.000 2.278
0.000 0.000 12.382
0.000 0.000 7.330
2.013 0.000 3.665
0.000 2.013 3.665
```

Results
Distance to the lowest polymorph of the same formula   0.00 eV per formula unit
M_tot   0.7 μB/cell

=====

# Sr4P2Se

Crystalline Sr4P2Se at its relaxed geometry (PBE-GGA, the Alexandria database).

Structure (POSCAR):
```
Sr4P2Se
1.0
-4.533 4.533 6.385
4.533 -4.533 6.385
4.533 4.533 -6.385
Sr P Se
8 4 2
Cartesian
2.526 2.266 0.173
6.540 2.266 0.173
4.533 0.259 3.019
0.000 0.259 3.366
4.533 4.274 3.019
0.000 4.274 3.366
-2.007 2.266 6.211
2.007 2.266 6.211
4.533 0.000 0.000
-2.266 2.266 3.192
0.000 0.000 6.385
2.266 2.266 3.192
4.533 -2.266 4.788
0.000 6.799 1.596
```

Results
M_tot   0.0 μB/cell
Formation energy without anion corrections   -1.30 eV per atom

=====

# KHfMnTe4

Crystalline KHfMnTe4 at its relaxed geometry (PBE-GGA, the Alexandria database).

Structure (POSCAR):
```
KHfMnTe4
1.0
6.974 0.000 0.000
0.000 6.957 0.000
-0.953 0.000 9.419
K Hf Mn Te
2 2 2 8
Cartesian
1.541 1.739 0.331
4.480 5.218 9.088
1.022 5.218 4.218
4.999 1.739 5.201
1.885 1.739 6.205
4.136 5.218 3.215
-0.010 3.534 6.495
-0.010 6.902 6.495
2.180 5.218 1.509
2.492 1.739 3.714
3.529 5.218 5.705
3.841 1.739 7.910
6.031 0.056 2.924
6.031 3.423 2.924
```

Results
M_tot   8.0 μB/cell
Formation energy without anion corrections   -0.55 eV per atom

=====

# Dy2ScHg3

Crystalline Dy2ScHg3 at its relaxed geometry (PBE-GGA, the Alexandria database).

Structure (POSCAR):
```
Dy2ScHg3
1.0
3.631 0.000 0.000
0.000 3.631 0.000
0.000 0.000 11.109
Dy Sc Hg
2 1 3
Cartesian
0.000 0.000 1.926
0.000 0.000 9.183
0.000 0.000 5.554
1.815 1.815 0.000
1.815 1.815 3.881
1.815 1.815 7.228
```

Results
Distance to the lowest polymorph of the same formula   0.00 eV per formula unit
M_tot   0.3 μB/cell
Formation energy from the elements   -0.457 eV/atom

=====

# NaSn3Rh3

Crystalline NaSn3Rh3 at its relaxed geometry (PBE-GGA, the Alexandria database).

Structure (POSCAR):
```
NaSn3Rh3
1.0
7.253 0.000 0.000
0.000 7.253 0.000
0.000 0.000 7.253
Na Sn Rh
2 6 6
Cartesian
0.000 0.000 0.000
3.627 3.627 3.627
0.000 1.813 3.627
0.000 5.440 3.627
1.813 3.627 0.000
3.627 0.000 1.813
3.627 0.000 5.440
5.440 3.627 0.000
0.000 3.627 1.813
0.000 3.627 5.440
1.813 0.000 3.627
3.627 1.813 0.000
3.627 5.440 0.000
5.440 0.000 3.627
```

Results
M_tot   0.0 μB/cell
Formation energy from the elements   0.000 eV/atom

=====

# TiNbZn2Br

Crystalline TiNbZn2Br at its relaxed geometry (PBE-GGA, the Alexandria database).

Structure (POSCAR):
```
TiNbZn2Br
1.0
5.068 0.000 0.000
0.000 5.068 0.000
0.000 0.000 4.883
Ti Nb Zn Br
1 1 2 1
Cartesian
0.000 0.000 0.000
2.534 2.534 2.441
0.000 2.534 2.441
2.534 0.000 2.441
2.534 2.534 0.000
```

Results
Distance to the lowest polymorph of the same formula   0.00 eV per formula unit
M_tot   1.9 μB/cell
Formation energy without anion corrections   0.92 eV per atom

=====

# Tm4Se3N2

Crystalline Tm4Se3N2 at its relaxed geometry (PBE-GGA, the Alexandria database).

Structure (POSCAR):
```
Tm4Se3N2
1.0
6.436 -1.748 0.000
6.436 1.748 0.000
-1.710 0.000 8.084
Tm Se N
4 3 2
Cartesian
0.816 0.000 1.533
3.513 0.000 3.206
7.650 0.000 4.878
10.347 0.000 6.551
-0.855 0.000 4.042
4.980 0.000 0.736
6.183 0.000 7.348
2.710 0.000 5.361
8.453 0.000 2.724
```

Results
Distance to the lowest polymorph of the same formula   1.22 eV per formula unit
M_tot   0.0 μB/cell
Formation energy without anion corrections   -1.71 eV per atom

=====

# Sr2HfBi2

Crystalline Sr2HfBi2 at its relaxed geometry (PBE-GGA, the Alexandria database).

Structure (POSCAR):
```
Sr2HfBi2
1.0
9.521 0.000 0.000
0.000 9.521 0.000
0.000 0.000 3.723
Sr Hf Bi
4 2 4
Cartesian
1.230 3.530 0.000
3.530 8.291 0.000
5.991 1.230 0.000
8.291 5.991 0.000
0.000 0.000 0.000
4.761 4.761 0.000
1.656 6.417 1.862
3.104 1.656 1.862
6.417 7.865 1.862
7.865 3.104 1.862
```

Results
Distance to the lowest polymorph of the same formula   2.29 eV per formula unit
M_tot   2.6 μB/cell
Formation energy from the elements   0.059 eV/atom

=====

# LiZn2CdAs

Crystalline LiZn2CdAs at its relaxed geometry (PBE-GGA, the Alexandria database).

Structure (POSCAR):
```
LiZn2CdAs
1.0
5.039 0.000 0.000
0.000 5.039 0.000
0.000 0.000 5.339
Li Zn Cd As
1 2 1 1
Cartesian
0.000 0.000 0.000
0.000 2.520 2.669
2.520 0.000 2.669
2.520 2.520 2.669
2.520 2.520 0.000
```

Results
M_tot   0.0 μB/cell
Formation energy from the elements   0.428 eV/atom